(1)
The following is a DFT calculation (GGA-PBE) of a geometry-optimized LaSm2Pt structure.

Results
Its energy of formation from the pure elements is -0.315 eV/atom. Its space-group type is R-3m. The value obtained for the energy is -21.667 eV for the cell shown. Its density of states at the Fermi level is 5.31 states/eV/f.u.

abc: 4.721 4.721 6.701
angles: 69.37 69.37 60.00
Element x y z (fractional)
La1 0.500 0.500 0.500
Pt1 0.000 0.000 0.000
Sm1 0.726 0.726 0.822
Sm2 0.274 0.274 0.178

---

(2)
The following is a DFT calculation (GGA-PBE) of a geometry-optimized LaSm2Pt9 structure.

Results
Its energy of formation from the pure elements is -0.960 eV/atom. Its space-group type is R-3m. The value obtained for the energy is -80.258 eV for the cell shown. Its density of states at the Fermi level is 8.79 states/eV/f.u.

abc: 5.472 5.472 9.451
angles: 73.17 73.17 60.00
Element x y z (fractional)
Pt1 0.587 0.587 0.744
Pt2 0.919 0.413 0.256
Pt3 0.500 0.500 0.500
Pt4 0.667 0.667 0.999
Pt5 0.333 0.333 0.001
Pt6 0.587 0.081 0.744
Pt7 0.413 0.413 0.256
Pt8 0.413 0.919 0.256
Pt9 0.081 0.587 0.744
Sm1 0.140 0.140 0.580
Sm2 0.860 0.860 0.420
La1 0.000 0.000 0.000

---

(3)
The following is a DFT calculation (GGA-PBE) of a geometry-optimized LaSm3Pt2 structure.

Results
Its energy of formation from the pure elements is -0.702 eV/atom. Its space-group type is C2/m. The value obtained for the energy is -70.756 eV for the cell shown. Its density of states at the Fermi level is 5.83 states/eV/f.u.

abc: 5.209 9.551 8.569
angles: 124.51 90.00 105.82
Element x y z (fractional)
Pt1 0.786 0.572 0.200
Pt2 0.498 0.997 0.159
Pt3 0.214 0.428 0.800
Pt4 0.502 0.003 0.841
Sm1 0.623 0.247 0.737
Sm2 0.312 0.623 0.626
Sm3 0.688 0.377 0.374
Sm4 0.938 0.876 0.614
Sm5 0.062 0.124 0.386
Sm6 0.377 0.753 0.263
La1 0.145 0.291 0.055
La2 0.855 0.709 0.945

---

(4)
The following is a DFT calculation (GGA-PBE) of a geometry-optimized La2SmPt structure.

Results
Its energy of formation from the pure elements is -0.495 eV/atom. Its space-group type is R-3m. The value obtained for the energy is -22.595 eV for the cell shown. Its density of states at the Fermi level is 4.48 states/eV/f.u.

abc: 3.996 3.996 9.939
angles: 78.40 78.40 60.00
Element x y z (fractional)
Sm1 0.500 0.500 0.500
Pt1 0.000 0.000 0.000
La1 0.729 0.729 0.813
La2 0.271 0.271 0.187